Record 1
Pa4P (GGA-PBE, relaxed); space group = Pm-3m; E_form = 0.50 eV/f.u.
1.0
-1.442 3.329 3.682
2.680 -2.706 3.496
4.179 2.884 -0.971
P Pa
1 4
Cartesian
2.708 1.754 3.103
0.000 0.000 0.000
1.368 3.107 1.356
3.429 0.089 1.262
0.619 0.312 3.589

Record 2
Pa3P4 (GGA-PBE, relaxed); space group = I-43d; E_form = -8.69 eV/f.u.
1.0
7.169 0.000 0.000
-2.390 6.759 0.000
-2.390 -3.379 5.853
P Pa
8 6
Cartesian
-2.009 -2.841 4.922
2.770 2.304 0.000
2.770 -1.152 3.858
3.638 1.690 2.927
-0.814 -1.152 1.995
1.575 5.683 0.000
0.054 1.690 2.927
-0.814 3.917 0.932
1.792 3.802 2.195
5.377 1.267 0.732
-1.792 0.000 4.390
1.792 0.000 1.463
-1.792 3.802 3.658
1.792 1.267 5.122

Record 3
PaP3 (GGA-PBE, relaxed); space group = Pm-3m; E_form = -2.41 eV/f.u.
1.0
-2.346 3.330 -0.178
-0.543 -0.167 4.037
3.289 2.346 0.539
P Pa
3 1
Cartesian
1.647 1.285 2.333
-1.169 1.778 1.975
0.745 3.033 0.226
0.274 0.195 0.045

Record 4
Pa5P (GGA-PBE, relaxed); space group = Cmmm; E_form = -1.74 eV/f.u.
1.0
-0.092 -1.118 4.259
4.508 -0.576 -0.054
-1.407 6.761 1.745
P Pa
1 5
Cartesian
0.000 0.000 0.000
2.519 1.734 0.510
0.583 4.451 1.181
2.208 -0.847 2.102
0.221 1.480 2.671
2.789 3.587 3.279

Record 5
Pa3P (GGA-PBE, relaxed); space group = Pmm2; E_form = -0.64 eV/f.u.
1.0
3.289 0.000 0.000
0.000 3.296 0.000
0.000 0.000 8.876
P Pa
1 3
Cartesian
0.000 0.000 8.754
0.000 1.648 4.063
1.644 1.648 1.364
1.644 0.000 6.529

Record 6
Pa3P (GGA-PBE, relaxed); space group = Imm2; E_form = -1.61 eV/f.u.
1.0
-0.591 -2.818 1.913
-1.092 -2.854 -4.542
5.398 1.645 0.968
P Pa
1 3
Cartesian
-0.039 -0.102 -0.162
2.148 -1.612 -1.711
-0.799 -2.727 -1.141
1.928 -1.471 1.552

For each record above, in turn, the calculated total DFT energy (no corrections) values are -8.578 -8.403 -7.033 -9.106 -8.636 -8.877 eV/atom.